(1)
A plane-wave DFT calculation with PBEsol was carried out for an optimized crystal structure of ScAl2MoP.

Results
total magnetization = 0.0954 μB per atom
E_tot = -4.880 eV per atom
Fermi-level density of states = 4.49 states/eV/cell

Cell: 5.0419 5.0419 4.3710 Å, 90.00 90.00 90.00°
Space group P4/mmm (No. 123)
Unique sites:
Sc (0.0000, 0.0000, 0.0000)
Al (0.0000, 0.5000, 0.0000)
Mo (0.0000, 0.0000, 0.5000)
P (0.5000, 0.5000, 0.5000)

(2)
A plane-wave DFT calculation with PBEsol was carried out for an optimized crystal structure of Al2MoPb.

Results
total magnetization = 0.0000 μB per atom
E_tot = -5.594 eV per atom
Fermi-level density of states = 8.10 states/eV/cell

Cell: 2.9754 2.9754 30.3398 Å, 90.00 90.00 120.00°
Space group R3m (No. 160, hexagonal axes)
Unique sites:
Al (0.0000, 0.0000, 0.0000)
Al (0.0000, 0.0000, 0.2568)
Mo (0.0000, 0.0000, 0.5209)
Pb (0.0000, 0.0000, 0.7717)

(3)
A plane-wave DFT calculation with PBEsol was carried out for an optimized crystal structure of Al2MoPb.

Results
total magnetization = 0.0000 μB per atom
E_tot = -5.682 eV per atom
Fermi-level density of states = 3.70 states/eV/cell

Cell: 3.5594 4.5287 8.7132 Å, 90.00 90.00 90.00°
Space group Imm2 (No. 44)
Unique sites:
Al (0.0000, 0.0000, 0.0000)
Al (0.0000, 0.5000, 0.2564)
Mo (0.0000, 0.5000, 0.7365)
Pb (0.0000, 0.0000, 0.4959)

(4)
A plane-wave DFT calculation with PBEsol was carried out for an optimized crystal structure of AlMo2Pb.

Results
ΔE to the lowest computed polymorph = 0.066 eV per atom
total magnetization = 0.0000 μB per atom
E_tot = -7.521 eV per atom
Fermi-level density of states = 3.77 states/eV/cell

Cell: 9.1923 3.2345 4.9481 Å, 90.00 98.87 90.00°
Space group C2/m (No. 12)
Unique sites:
Al (0.0000, 0.0000, 0.0000)
Mo (0.2456, 0.5000, 0.1908)
Pb (0.0000, 0.5000, 0.5000)